This record from Alexandria via LeMat-Bulk describes CeSmInRh after structural relaxation. The functional is PBE.

a = 7.359 Å, b = 7.359 Å, c = 7.359 Å
α = 90.00°, β = 90.00°, γ = 90.00°
Space group F-43m (No. 216)
One atom of each set of equivalent atoms:
Ce1 0.000 0.000 0.000 x4
Sm1 0.000 0.000 0.500 x4
In1 0.250 0.250 0.750 x4
Rh1 0.250 0.250 0.250 x4

Results
Electronic total energy: -5.59 eV/atom
DFT formation energy: -154 kJ/mol of formula units